Below is a relaxed structure of Mg14MnCuO16, with properties calculated at the PBE+U level.

```
32
Lattice="8.5782 0.0000 0.0000 0.0000 8.5782 0.0000 0.0000 0.0000 4.2267" Properties=species:S:1:pos:R:3 pbc="T T T"
Mg 0.0000 2.1223 0.0000
Mg 0.0000 4.2891 2.1133
Mg 0.0000 6.4559 0.0000
Mg 2.1047 4.2891 0.0000
Mg 2.1125 2.1125 2.1133
Mg 2.1125 6.4657 2.1133
Mg 2.1223 0.0000 0.0000
Mg 4.2891 0.0000 2.1133
Mg 4.2891 2.1047 0.0000
Mg 4.2891 6.4735 0.0000
Mg 6.4559 0.0000 0.0000
Mg 6.4657 2.1125 2.1133
Mg 6.4657 6.4657 2.1133
Mg 6.4735 4.2891 0.0000
Mn 4.2891 4.2891 2.1133
Cu 0.0000 0.0000 2.1133
O 0.0000 0.0000 0.0000
O 0.0000 2.2327 2.1133
O 0.0000 4.2891 0.0000
O 0.0000 6.3455 2.1133
O 2.1489 2.1489 0.0000
O 2.1508 4.2891 2.1133
O 2.1489 6.4293 0.0000
O 2.2327 0.0000 2.1133
O 4.2891 0.0000 0.0000
O 4.2891 2.1508 2.1133
O 4.2891 4.2891 0.0000
O 4.2891 6.4273 2.1133
O 6.3455 0.0000 2.1133
O 6.4293 2.1489 0.0000
O 6.4273 4.2891 2.1133
O 6.4293 6.4293 0.0000
```

Calculated values
Total moment   1.066 μB per formula unit
VASP energy   -190.19 eV/cell
Energy above the lowest structure with this stoichiometry   0.0882 eV per atom